Entry from Alexandria: crystalline Dy5Y2Er3 at its relaxed geometry (PBE-GGA).

Output
The formation energy comes out at 0.20 eV/atom. The calculated total energy is -47.6 eV per formula unit. The polymorph energy (0 for the lowest one) comes out at 0.000 eV per atom. Its density of states at the Fermi level is 1.963 states/eV per atom.

Geometry as CIF:
```
data_Dy5Y2Er3
_space_group_name_H-M_alt 'C 1 2/c 1'
_space_group_IT_number 15
_space_group_name_Hall '-C 2yc'
_cell_length_a 10.608
_cell_length_b 15.521
_cell_length_c 9.513
_cell_angle_alpha 90.00
_cell_angle_beta 123.83
_cell_angle_gamma 90.00
loop_
_atom_site_label
_atom_site_type_symbol
_atom_site_fract_x
_atom_site_fract_y
_atom_site_fract_z
_atom_site_occupancy
Dy1 Dy 0.000 0.027 0.250 1
Dy2 Dy 0.000 0.225 0.250 1
Dy3 Dy 0.000 0.268 0.750 1
Dy4 Dy 0.232 0.120 0.717 1
Y1 Y 0.140 0.375 0.546 1
Er1 Er 0.000 0.476 0.750 1
Er2 Er 0.157 0.121 0.049 1
```